No. 1
PBE-GGA LaPrNiCl, relaxed; DOS(E_F) = 3.64 states/eV per cell; crystal system = trigonal; calculated volume = 27.570 A^3/atom; E = -5.249 eV/atom; ΔE_f (raw) = -353 kJ/mol of formula units
1.0
4.0804 -0.0018 -0.0009
-2.0409 3.5361 0.0000
-2.0408 -1.1779 7.6458
Pr Ni La Cl
1 1 1 1
Direct
0.5020 0.1489 0.6660
0.3055 0.5505 0.8709
0.1036 0.9496 0.0687
0.9669 0.3817 0.3641

---

No. 2
PBE-GGA NaCe2Tl4, relaxed; DOS(E_F) = 13.93 states/eV per cell; crystal system = trigonal; calculated volume = 30.759 A^3/atom; E = -3.307 eV/atom; energy relative to the elements = -0.07 eV/atom
1.0
-0.3030 3.9496 3.5908
-4.7741 1.7572 1.6447
-1.6271 -3.9458 8.1831
Ce Na Tl
2 1 4
Direct
0.2501 0.2501 0.2497
0.7499 0.7499 0.7503
0.0000 0.0000 0.0000
0.8726 0.8726 0.3821
0.3790 0.3790 0.8631
0.1274 0.1274 0.6179
0.6210 0.6210 0.1369

---

No. 3
PBE-GGA MgCoBRu2, relaxed; DOS(E_F) = 6.68 states/eV per cell; crystal system = tetragonal; calculated volume = 13.027 A^3/atom; E = -6.780 eV/atom; energy relative to the elements = 0.01 eV/atom
1.0
-0.7621 1.4437 -3.7735
-3.5093 -2.1394 -0.1098
-1.8763 2.9993 1.5264
B Co Ru Mg
1 1 2 1
Direct
0.0000 0.0000 0.0000
0.0000 0.0000 0.5000
0.5000 0.0000 0.0000
0.0000 0.5000 0.0000
0.5000 0.5000 0.5000

---

No. 4
PBE-GGA LiTb2Ce3S6, relaxed; DOS(E_F) = 17.27 states/eV per cell; crystal system = monoclinic; calculated volume = 22.021 A^3/atom; E = -6.423 eV/atom; ΔE_f (raw) = -2251 kJ/mol of formula units
1.0
6.8491 -0.0047 -0.0012
-3.4269 5.9301 -0.0012
-1.1426 -1.9784 6.5094
S Ce Tb Li
6 3 2 1
Direct
0.2480 0.2480 0.7637
0.9213 0.5943 0.7637
0.4057 0.0787 0.2363
0.7520 0.7520 0.2363
0.5943 0.9213 0.7637
0.0787 0.4057 0.2363
0.8333 0.1667 0.5000
0.1667 0.8333 0.5000
0.5000 0.5000 0.5000
0.6665 0.3335 0.0000
0.3335 0.6665 0.0000
0.0000 0.0000 0.0000

---

Total magnetic moment list, top to bottom, in μB/atom: 0.000; 0.277; 0.238; 0.241